Record 1
This record from Alexandria via LeMat-Bulk describes a relaxed structure of Ca2AgBiTe4. The functional is PBE-GGA.

```
Ca2AgBiTe4
1.0
-1.5561 -3.6658 2.0709
7.2083 -2.9043 0.2755
-1.3596 4.1743 6.3674
Te Ag Bi Ca
4 1 1 2
Cartesian
5.0260 -1.1566 1.7293
0.6892 -1.5372 2.6615
0.8227 2.4266 4.9136
3.6034 -0.8586 6.0523
2.8261 -3.2850 1.1732
0.0000 0.0000 0.0000
-1.4579 0.2543 4.2191
2.9244 0.6350 3.3214
```

Values from the calculation:
Formation energy from raw total energies = -0.807 eV/atom
Mass density = 5.9 Mg/m³
Raw total energy = -0.1367 hartree per atom

Record 2
This record from Alexandria via LeMat-Bulk describes a relaxed structure of CaThAgBi. The functional is PBE-GGA.

```
CaThAgBi
1.0
-3.2033 -0.5487 -4.3648
1.8876 -2.4687 -4.4673
-1.8808 -4.9124 -1.3945
Ca Ag Th Bi
1 1 1 1
Cartesian
-1.5983 -3.9649 -5.1133
-0.7991 -1.9825 -2.5566
0.0000 0.0000 0.0000
-2.3974 -5.9474 -7.6699
```

Values from the calculation:
DOS at the Fermi energy = 1.36 states/eV per atom
Mass density = 8.6 Mg/m³
Raw total energy = -0.1587 hartree per atom
ΔE_f = -0.2814 eV/atom

Record 3
This record from Alexandria via LeMat-Bulk describes a relaxed structure of CaTlAgBi. The functional is PBE-GGA.

```
CaTlAgBi
1.0
-3.5196 2.3806 3.2762
-5.2666 -0.5445 -0.8687
-2.9787 -2.9571 3.3423
Ag Tl Bi Ca
1 1 1 1
Cartesian
0.0000 0.0000 0.0000
-2.9412 -0.2802 1.4375
-8.8236 -0.8407 4.3124
-5.8824 -0.5605 2.8749
```

Values from the calculation:
DOS at the Fermi energy = 0.49 states/eV per atom
Mass density = 8.5 Mg/m³
Raw total energy = -0.1113 hartree per atom
ΔE_f = -0.2524 eV/atom

Record 4
This record from Alexandria via LeMat-Bulk describes a relaxed structure of CaTmAgBi. The functional is PBE-GGA.

```
CaTmAgBi
1.0
5.3270 0.0000 0.0000
2.6635 4.6133 0.0000
2.6635 1.5378 4.3494
Ag Tm Ca Bi
1 1 1 1
Cartesian
2.6635 1.5378 1.0874
0.0000 0.0000 0.0000
5.3270 3.0755 2.1747
7.9904 4.6133 3.2621
```

Values from the calculation:
DOS at the Fermi energy = 0.88 states/eV per atom
Mass density = 8.2 Mg/m³
Raw total energy = -0.1370 hartree per atom
ΔE_f = -0.4267 eV/atom

> Which formula does entry 1 have?

Ca2AgBiTe4